Computed, not measured: a geometry-optimized TbPr2Er3Tm6 structure at the PBE level of DFT.

Cell and atoms, written as POSCAR:
```
TbPr2Er3Tm6
1.0
-5.294 -1.802 -2.508
3.474 -4.030 3.042
-4.902 4.553 9.572
Er Tm Tb Pr
3 6 1 2
Direct
0.833 0.167 0.500
0.500 0.500 0.500
0.167 0.833 0.500
0.753 0.753 0.254
0.915 0.582 0.746
0.418 0.085 0.254
0.247 0.247 0.746
0.085 0.418 0.254
0.582 0.915 0.746
0.000 0.000 0.000
0.667 0.333 0.000
0.333 0.667 0.000
```

Summary:
Fermi-level density of states: 16.4 states/eV/cell
volume: 31.19 A^3/atom
total energy: -54.400 eV per cell
crystal system: monoclinic
space group: C2/m